The following is a PBE calculation of crystalline Ac4Tl2Si at its relaxed geometry, from Alexandria.

Cell: 6.8385 6.8385 9.5535 Å, 118.03 118.03 42.03°
With the nearest neighbours (Å) after each atom.
Positions (direct):
1 Ac 0.0828 0.0828 0.3651  1 Si 3.09
2 Ac 0.3256 0.3256 0.9247  2 Si 3.14, 2 Tl 3.49
3 Ac 0.6744 0.6744 0.0753  2 Si 3.14, 2 Tl 3.49
4 Ac 0.9172 0.9172 0.6349  1 Si 3.09
5 Tl 0.3650 0.3650 0.3406  1 Tl 3.25, 6 Ac 3.49-3.63
6 Tl 0.6350 0.6350 0.6594  1 Tl 3.25, 6 Ac 3.49-3.63
7 Si 0.0000 0.0000 0.0000  6 Ac 3.09-3.14

Properties
Space-group type: C2/m (12)
Energy relative to the lowest polymorph listed for this composition, eV/atom: 0.000



The following is a PBE calculation of crystalline Ac12Tl5Si2 at its relaxed geometry, from Alexandria.

Cell: 10.2165 10.2165 9.7884 Å, 106.83 106.83 51.17°
With the nearest neighbours (Å) after each atom.
Positions (direct):
1 Ac 0.0209 0.0209 0.3058  2 Si 3.11, 1 Tl 3.37
2 Ac 0.0649 0.5912 0.3194  1 Si 3.10, 1 Tl 3.47
3 Ac 0.0867 0.6622 0.9316  3 Tl 3.35-3.49, 1 Ac 3.75
4 Ac 0.3378 0.9133 0.0684  3 Tl 3.35-3.49, 1 Ac 3.75
5 Ac 0.4088 0.9351 0.6806  1 Si 3.10, 1 Tl 3.47
6 Ac 0.4236 0.4236 0.6481  2 Si 3.11, 1 Tl 3.28
7 Ac 0.5764 0.5764 0.3519  2 Si 3.11, 1 Tl 3.28
8 Ac 0.5912 0.0649 0.3194  1 Si 3.10, 1 Tl 3.47
9 Ac 0.6622 0.0867 0.9316  3 Tl 3.35-3.49, 1 Ac 3.75
10 Ac 0.9133 0.3378 0.0684  3 Tl 3.35-3.49, 1 Ac 3.75
11 Ac 0.9351 0.4088 0.6806  1 Si 3.10, 1 Tl 3.47
12 Ac 0.9791 0.9791 0.6942  2 Si 3.11, 1 Tl 3.37
13 Tl 0.2141 0.2141 0.4172  7 Ac 3.37-3.78
14 Tl 0.2663 0.2663 0.9885  6 Ac 3.38-3.62
15 Tl 0.5000 0.5000 0.0000  6 Ac 3.28-3.35
16 Tl 0.7337 0.7337 0.0115  6 Ac 3.38-3.62
17 Tl 0.7859 0.7859 0.5828  7 Ac 3.37-3.78
18 Si 0.2650 0.7350 0.5000  6 Ac 3.10-3.11
19 Si 0.7350 0.2650 0.5000  6 Ac 3.10-3.11

Properties
Space-group type: C2/m (12)



The following is a PBE calculation of crystalline Ac2Tl2Si at its relaxed geometry, from Alexandria.

Cell: 9.9861 9.9861 9.9861 Å, 155.85 155.85 34.42°
With the nearest neighbours (Å) after each atom.
Positions (direct):
1 Ac 0.0878 0.0878 0.0000  1 Ac 3.35, 4 Si 3.40, 4 Tl 3.73
2 Ac 0.9122 0.9122 0.0000  1 Ac 3.35, 4 Si 3.40, 4 Tl 3.73
3 Tl 0.2500 0.7500 0.5000  4 Tl 2.95
4 Tl 0.7500 0.2500 0.5000  4 Tl 2.95
5 Si 0.5000 0.5000 0.0000  8 Ac 3.40

Properties
Space-group type: I4/mmm (139)



no.,total magnetic moment (μB per formula unit),raw formation energy (eV per atom),uncorrected energy (eV/atom)
1,0.280,-0.338,-4.1364
2,0.000,-0.189,-3.9772
3,0.000,-0.129,-3.8035